Ac2Tl2BiO2: relaxed, PBE. Values from VASP.

## Properties
Symmetry ... No. 164
Raw total energy ... -5.314 eV/atom
Magnetic moment ... 0.00 Bohr magnetons per cell
Uncorrected formation energy ... -1.493 eV per atom

Structure (Quantum ESPRESSO input):
```
&SYSTEM
  ibrav = 0, nat = 7, ntyp = 4
/
ATOMIC_SPECIES
Tl 204.38 Tl.upf
O 16.00 O.upf
Bi 208.98 Bi.upf
Ac 227.00 Ac.upf
ATOMIC_POSITIONS crystal
Tl 0.0000 0.0000 0.7961
Tl 0.0000 0.0000 0.2039
O 0.6667 0.3333 0.5619
O 0.3333 0.6667 0.4381
Bi 0.0000 0.0000 0.0000
Ac 0.3333 0.6667 0.6106
Ac 0.6667 0.3333 0.3894
CELL_PARAMETERS angstrom
4.0409 0.0000 0.0000
-2.0204 3.4995 0.0000
0.0000 0.0000 14.9885
```